[1]
Material: CsSiS2Cl
Method: DFT, PBE
State: optimized geometry

```
5
Lattice="-2.6795 0.5230 -4.7091 3.0168 -3.9833 -2.1589 -4.0174 -4.0385 1.8374" Properties=species:S:1:pos:R:3 pbc="T T T"
Cl -2.0087 -2.0192 0.9187
Si -1.8400 -3.7494 -2.5153
S 1.5084 -1.9916 -1.0795
Cs 0.0000 0.0000 0.0000
S -1.3397 0.2615 -2.3545
```

Output
- E (eV per atom) = -2.16

[2]
Material: LiZr3Tc
Method: DFT, PBE
State: optimized geometry

```
5
Lattice="4.5965 0.0000 0.0000 0.0000 4.5965 0.0000 0.0000 0.0000 4.5965" Properties=species:S:1:pos:R:3 pbc="T T T"
Zr 2.2982 0.0000 0.0000
Zr 0.0000 2.2982 0.0000
Tc 2.2982 2.2982 2.2982
Li 0.0000 0.0000 0.0000
Zr 0.0000 0.0000 2.2982
```

Output
- E (eV per atom) = -6.63

[3]
Material: BeSiPt
Method: DFT, PBE
State: optimized geometry

```
3
Lattice="-4.0784 3.2701 1.0044 -5.2178 1.0405 -0.1712 -0.9738 -0.8010 2.4620" Properties=species:S:1:pos:R:3 pbc="T T T"
Be -9.2672 4.2928 0.8389
Pt -3.8547 0.9685 1.8982
Si -6.4444 2.5590 1.3914
```

Output
- E (eV per atom) = -5.23

[4]
Material: La2SbSe
Method: DFT, PBE
State: optimized geometry

```
4
Lattice="8.1077 0.0240 0.0016 6.0103 5.4417 -0.0016 -7.0440 -2.7715 2.9045" Properties=species:S:1:pos:R:3 pbc="T T T"
La 4.6358 0.2150 1.4530
La 0.6938 0.2686 0.0000
Se 2.4122 2.4691 1.4515
Sb 6.3912 2.4743 0.0000
```

Output
- E (eV per atom) = -5.78

The records above give, respectively, V values of 177.3 97.1 37.9 127.7 Å³/cell.
The records above give, respectively, relative energy among the computed polymorphs values of 1.7264 0.4727 0.3687 0.2249 eV per atom.